1.
First-principles (PBE) data for a geometry-optimized CoSbMoPt structure, as listed in OQMD via LeMat-Bulk.

a = 4.4649 Å, b = 4.4649 Å, c = 4.4649 Å
α = 60.00°, β = 60.00°, γ = 60.00°
Last column: nearest neighbours and their distance in Å.
Atoms (fractional coordinates):
Co: 0.0000 0.0000 0.0000  4 Sb 2.73, 4 Pt 2.73
Sb: 0.7500 0.7500 0.7500  4 Mo 2.73, 4 Co 2.73
Mo: 0.5000 0.5000 0.5000  4 Sb 2.73, 4 Pt 2.73
Pt: 0.2500 0.2500 0.2500  4 Mo 2.73, 4 Co 2.73

Computed properties:
**Symmetry**: F-43m, No. 216
**Uncorrected energy**: -27.59 eV per cell
**Magnetization**: 0.7 μB/f.u.

2.
First-principles (PBE) data for a geometry-optimized CoSiMoPt structure, as listed in OQMD via LeMat-Bulk.

a = 4.2609 Å, b = 4.2609 Å, c = 4.2609 Å
α = 60.00°, β = 60.00°, γ = 60.00°
Last column: nearest neighbours and their distance in Å.
Atoms (fractional coordinates):
Co: 0.0000 0.0000 0.0000  4 Pt 2.61, 4 Si 2.61
Si: 0.7500 0.7500 0.7500  4 Mo 2.61, 4 Co 2.61
Mo: 0.5000 0.5000 0.5000  4 Pt 2.61, 4 Si 2.61
Pt: 0.2500 0.2500 0.2500  4 Mo 2.61, 4 Co 2.61

Computed properties:
**Symmetry**: F-43m, No. 216
**Uncorrected energy**: -29.90 eV per cell
**Magnetization**: 0.0 μB/f.u.

3.
First-principles (PBE) data for a geometry-optimized CoSiMoPt structure, as listed in OQMD via LeMat-Bulk.

a = 4.2810 Å, b = 4.2810 Å, c = 4.2810 Å
α = 60.00°, β = 60.00°, γ = 60.00°
Last column: nearest neighbours and their distance in Å.
Atoms (fractional coordinates):
Co: 0.0000 0.0000 0.0000  4 Si 2.62, 4 Mo 2.62
Si: 0.7500 0.7500 0.7500  4 Co 2.62, 4 Pt 2.62
Mo: 0.2500 0.2500 0.2500  4 Co 2.62, 4 Pt 2.62
Pt: 0.5000 0.5000 0.5000  4 Si 2.62, 4 Mo 2.62

Computed properties:
**Symmetry**: F-43m, No. 216
**Uncorrected energy**: -29.04 eV per cell
**Magnetization**: 0.9 μB/f.u.

4.
First-principles (PBE) data for a geometry-optimized TlCoMoPt structure, as listed in OQMD via LeMat-Bulk.

a = 4.4840 Å, b = 4.4840 Å, c = 4.4840 Å
α = 60.00°, β = 60.00°, γ = 60.00°
Last column: nearest neighbours and their distance in Å.
Atoms (fractional coordinates):
Tl: 0.0000 0.0000 0.0000  4 Mo 2.75, 4 Co 2.75
Co: 0.2500 0.2500 0.2500  4 Pt 2.75, 4 Tl 2.75
Mo: 0.7500 0.7500 0.7500  4 Pt 2.75, 4 Tl 2.75
Pt: 0.5000 0.5000 0.5000  4 Mo 2.75, 4 Co 2.75

Computed properties:
**Symmetry**: F-43m, No. 216
**Uncorrected energy**: -24.58 eV per cell
**Magnetization**: 0.0 μB/f.u.

5.
First-principles (PBE) data for a geometry-optimized TlCoMoPt structure, as listed in OQMD via LeMat-Bulk.

a = 4.5133 Å, b = 4.5133 Å, c = 4.5133 Å
α = 60.00°, β = 60.00°, γ = 60.00°
Last column: nearest neighbours and their distance in Å.
Atoms (fractional coordinates):
Tl: 0.0000 0.0000 0.0000  4 Co 2.76, 4 Pt 2.76
Co: 0.2500 0.2500 0.2500  4 Tl 2.76, 4 Mo 2.76
Mo: 0.5000 0.5000 0.5000  4 Pt 2.76, 4 Co 2.76
Pt: 0.7500 0.7500 0.7500  4 Mo 2.76, 4 Tl 2.76

Computed properties:
**Symmetry**: F-43m, No. 216
**Uncorrected energy**: -24.40 eV per cell
**Magnetization**: 0.1 μB/f.u.

6.
First-principles (PBE) data for a geometry-optimized ZnCoMoPt structure, as listed in OQMD via LeMat-Bulk.

a = 4.3209 Å, b = 4.3209 Å, c = 4.3209 Å
α = 60.00°, β = 60.00°, γ = 60.00°
Last column: nearest neighbours and their distance in Å.
Atoms (fractional coordinates):
Zn: 0.0000 0.0000 0.0000  4 Pt 2.65, 4 Co 2.65
Co: 0.2500 0.2500 0.2500  4 Mo 2.65, 4 Zn 2.65
Mo: 0.5000 0.5000 0.5000  4 Pt 2.65, 4 Co 2.65
Pt: 0.7500 0.7500 0.7500  4 Mo 2.65, 4 Zn 2.65

Computed properties:
**Formation energy**: 15.5 meV per atom
**Symmetry**: F-43m, No. 216
**Uncorrected energy**: -25.21 eV per cell
**Magnetization**: 1.6 μB/f.u.

> The lowest uncorrected energy belongs to which entry?

number 2

> Among the records above, which one has the highest magnetization?

ZnCoMoPt